LiSiCl2: optimized geometry, PBE.

The formation energy (no corrections) is -0.451 eV/atom. Its energy above the lowest structure with this stoichiometry is 0.328 eV/atom. The final energy is -3.21 eV per atom. For the total magnetization, the calculation gives 0.0 μB/f.u.

The structure belongs to space group P4/mmm (No. 123); the cell edges are 3.1709, 3.1709 and 7.4489 Å and the angles 90.00°, 90.00° and 90.00°. Symmetry generates all atoms from Li at (0.0000, 0.0000, 0.0000), Si at (0.0000, 0.0000, 0.5000) and Cl at (0.5000, 0.5000, 0.2112).

=====

LiSiCl2: optimized geometry, PBE.

The formation energy (no corrections) is -0.615 eV/atom. Its energy above the lowest structure with this stoichiometry is 0.164 eV/atom. The final energy is -3.37 eV per atom. For the total magnetization, the calculation gives 0.0 μB/f.u.

The structure belongs to space group Cmmm (No. 65); the cell edges are 3.4650, 5.9618 and 7.6809 Å and the angles 90.00°, 90.00° and 90.00°. Symmetry generates all atoms from Li at (0.0000, 0.0000, 0.0000), Si at (0.0000, 0.0000, 0.5000) and Cl at (0.0000, 0.5000, 0.2187).

=====

LiSiCl3: optimized geometry, PBE.

The formation energy (no corrections) is -0.797 eV/atom. The final energy is -3.37 eV per atom. For the total magnetization, the calculation gives 0.0 μB/f.u.

The structure belongs to space group Pm-3m (No. 221); the cell edges are 5.0455, 5.0455 and 5.0455 Å and the angles 90.00°, 90.00° and 90.00°. Symmetry generates all atoms from Li at (0.0000, 0.0000, 0.0000), Si at (0.5000, 0.5000, 0.5000) and Cl at (0.0000, 0.5000, 0.5000).